(1)
# K2HfSc2Se6

Crystalline K2HfSc2Se6 at its relaxed geometry (PBE-GGA, Alexandria).

Cell lengths 6.7666, 6.7666, 8.1833 Å; angles 98.05, 98.05, 119.92 degrees
Last column: nearest neighbours and their distance in Å.
Element x y z (fractional)
K 0.8323 0.1677 0.0000  6 Se 3.30-3.31
Sc 0.3327 0.6673 0.5000  6 Se 2.73-2.74
Se 0.0671 0.3943 0.6938  1 Hf 2.69, 2 Sc 2.73-2.74
Se 0.9329 0.6057 0.3062  1 Hf 2.69, 2 Sc 2.73-2.74
K 0.1677 0.8323 0.0000  6 Se 3.30-3.31
Se 0.2646 0.2646 0.3071  1 Hf 2.70, 2 Sc 2.73
Hf 0.0000 0.0000 0.5000  6 Se 2.69-2.70
Sc 0.6673 0.3327 0.5000  6 Se 2.73-2.74
Se 0.3943 0.0671 0.6938  1 Hf 2.69, 2 Sc 2.73-2.74
Se 0.7354 0.7354 0.6929  1 Hf 2.70, 2 Sc 2.73
Se 0.6057 0.9329 0.3062  1 Hf 2.69, 2 Sc 2.73-2.74

Computed properties:
crystal system: monoclinic
symmetry: C2/m
magnetic moment: 0.0 μB per cell
calculated total energy: -63.06 eV/cell
mass density: 4369 kg/m³


(2)
# K4HfSc3Se8

Crystalline K4HfSc3Se8 at its relaxed geometry (PBE-GGA, Alexandria).

Cell lengths 7.9595, 8.9278, 7.9600 Å; angles 116.49, 120.00, 90.00 degrees
Last column: nearest neighbours and their distance in Å.
Element x y z (fractional)
Se 0.2305 0.6976 0.4610  1 Hf 2.73, 2 Sc 2.76
Se 0.2633 0.3024 0.0327  1 Hf 2.73, 2 Sc 2.76
Se 0.7323 0.6968 0.4646  3 Sc 2.75
Se 0.7367 0.6976 0.9673  1 Hf 2.73, 2 Sc 2.76
K 0.0000 0.0000 0.0000  6 Se 3.25-3.26
Sc 0.5000 0.5000 0.0000  6 Se 2.75-2.76
K 0.0000 0.0000 0.5000  6 Se 3.25-3.27
K 0.5000 0.0000 0.0000  6 Se 3.28
Se 0.7695 0.3024 0.0327  1 Hf 2.73, 2 Sc 2.76
Se 0.2305 0.6976 0.9673  1 Hf 2.73, 2 Sc 2.76
Hf 0.0000 0.5000 0.0000  6 Se 2.73
Sc 0.0000 0.5000 0.5000  6 Se 2.75-2.76
Sc 0.5000 0.5000 0.5000  6 Se 2.75-2.76
Se 0.7695 0.3024 0.5390  1 Hf 2.73, 2 Sc 2.76
Se 0.2677 0.3032 0.5354  3 Sc 2.75
K 0.5000 0.0000 0.5000  6 Se 3.25-3.27

Computed properties:
crystal system: trigonal
symmetry: R-3m
magnetic moment: 0.0 μB per cell
calculated total energy: -85.82 eV/cell
mass density: 4356 kg/m³